The following is a PBE calculation of crystalline Na2SrH at its relaxed geometry, from the Alexandria database.

Geometry as CIF:
```
data_Na2SrH
_cell_length_a 3.7547
_cell_length_b 3.7547
_cell_length_c 30.9937
_cell_angle_alpha 90.00
_cell_angle_beta 90.00
_cell_angle_gamma 120.00
_symmetry_space_group_name_H-M 'R -3 m'
_symmetry_Int_Tables_number 166
_symmetry_space_group_name_Hall '-R 3 2"'
loop_
_atom_site_label
_atom_site_type_symbol
_atom_site_fract_x
_atom_site_fract_y
_atom_site_fract_z
Na1 Na 0.0000 0.0000 0.1207
Sr1 Sr 0.0000 0.0000 0.0000
H1 H 0.0000 0.0000 0.5000
```

Properties
- excess energy over the best structure of this formula in the dataset (meV/atom) = 5

The following is a PBE calculation of crystalline NaSr3H3 at its relaxed geometry, from the Alexandria database.

Geometry as CIF:
```
data_NaSr3H3
_cell_length_a 7.090
_cell_length_b 7.090
_cell_length_c 7.090
_cell_angle_alpha 90.00
_cell_angle_beta 90.00
_cell_angle_gamma 90.00
_symmetry_space_group_name_H-M 'P m -3 n'
_symmetry_Int_Tables_number 223
_symmetry_space_group_name_Hall '-P 4n 2 3'
loop_
_atom_site_label
_atom_site_type_symbol
_atom_site_fract_x
_atom_site_fract_y
_atom_site_fract_z
Na1 Na 0.000 0.000 0.000
Sr1 Sr 0.000 0.250 0.500
H1 H 0.000 0.500 0.250
```

Properties
- energy (eV per atom) = -2.60

The following is a PBE calculation of crystalline Na2SrH4 at its relaxed geometry, from the Alexandria database.

Geometry as CIF:
```
data_Na2SrH4
_cell_length_a 4.638
_cell_length_b 4.638
_cell_length_c 12.821
_cell_angle_alpha 90.00
_cell_angle_beta 90.00
_cell_angle_gamma 90.00
_symmetry_space_group_name_H-M 'I 4/m m m'
_symmetry_Int_Tables_number 139
_symmetry_space_group_name_Hall '-I 4 2'
loop_
_atom_site_label
_atom_site_type_symbol
_atom_site_fract_x
_atom_site_fract_y
_atom_site_fract_z
Na1 Na 0.000 0.000 0.155
Sr1 Sr 0.000 0.000 0.500
H1 H 0.000 0.000 0.316
H2 H 0.000 0.500 0.000
```

Properties
- excess energy over the best structure of this formula in the dataset (meV/atom) = 169

The following is a PBE calculation of crystalline NaSr4H2 at its relaxed geometry, from the Alexandria database.

Geometry as CIF:
```
data_NaSr4H2
_cell_length_a 6.191
_cell_length_b 6.191
_cell_length_c 13.983
_cell_angle_alpha 90.00
_cell_angle_beta 90.00
_cell_angle_gamma 90.00
_symmetry_space_group_name_H-M 'I 4/m m m'
_symmetry_Int_Tables_number 139
_symmetry_space_group_name_Hall '-I 4 2'
loop_
_atom_site_label
_atom_site_type_symbol
_atom_site_fract_x
_atom_site_fract_y
_atom_site_fract_z
Na1 Na 0.000 0.000 0.000
Sr1 Sr 0.000 0.000 0.259
Sr2 Sr 0.000 0.500 0.000
H1 H 0.000 0.000 0.423
```

Properties
- energy (eV per atom) = -1.92

The following is a PBE calculation of crystalline Na6SrH8 at its relaxed geometry, from the Alexandria database.

Geometry as CIF:
```
data_Na6SrH8
_cell_length_a 8.6654
_cell_length_b 8.6654
_cell_length_c 3.4679
_cell_angle_alpha 90.00
_cell_angle_beta 90.00
_cell_angle_gamma 120.00
_symmetry_space_group_name_H-M 'P -3'
_symmetry_Int_Tables_number 147
loop_
_symmetry_equiv_pos_as_xyz
'x,y,z'
'-x,-y,-z'
'-y,x-y,z'
'y,-x+y,-z'
'-x+y,-x,z'
'x-y,x,-z'
loop_
_atom_site_label
_atom_site_type_symbol
_atom_site_fract_x
_atom_site_fract_y
_atom_site_fract_z
Na1 Na 0.1389 0.4421 0.2409
Sr1 Sr 0.0000 0.0000 0.5000
H1 H 0.0135 0.7321 0.2511
H2 H 0.3333 0.6667 0.7514
```

Properties
- energy (eV per atom) = -2.58

The following is a PBE calculation of crystalline Na2Sr5H12 at its relaxed geometry, from the Alexandria database.

Geometry as CIF:
```
data_Na2Sr5H12
_cell_length_a 12.803
_cell_length_b 6.403
_cell_length_c 7.992
_cell_angle_alpha 90.00
_cell_angle_beta 106.19
_cell_angle_gamma 90.00
_symmetry_space_group_name_H-M 'C 1 2/m 1'
_symmetry_Int_Tables_number 12
loop_
_symmetry_equiv_pos_as_xyz
'x,y,z'
'-x,-y,-z'
'-x,y,-z'
'x,-y,z'
'x+1/2,y+1/2,z'
'-x+1/2,-y+1/2,-z'
'-x+1/2,y+1/2,-z'
'x+1/2,-y+1/2,z'
loop_
_atom_site_label
_atom_site_type_symbol
_atom_site_fract_x
_atom_site_fract_y
_atom_site_fract_z
Na1 Na 0.000 0.241 0.000
Sr1 Sr 0.000 0.000 0.500
Sr2 Sr 0.180 0.500 0.346
Sr3 Sr 0.210 0.500 0.845
H1 H 0.012 0.500 0.789
H2 H 0.072 0.000 0.242
H3 H 0.160 0.248 0.587
H4 H 0.176 0.299 0.081
```

Properties
- energy (eV per atom) = -3.11

The following is a PBE calculation of crystalline Na2Sr4H at its relaxed geometry, from the Alexandria database.

Geometry as CIF:
```
data_Na2Sr4H
_cell_length_a 5.397
_cell_length_b 5.397
_cell_length_c 19.674
_cell_angle_alpha 90.00
_cell_angle_beta 90.00
_cell_angle_gamma 90.00
_symmetry_space_group_name_H-M 'I 4/m m m'
_symmetry_Int_Tables_number 139
_symmetry_space_group_name_Hall '-I 4 2'
loop_
_atom_site_label
_atom_site_type_symbol
_atom_site_fract_x
_atom_site_fract_y
_atom_site_fract_z
Na1 Na 0.000 0.000 0.138
Sr1 Sr 0.000 0.000 0.330
Sr2 Sr 0.000 0.500 0.000
H1 H 0.000 0.000 0.500
```

Properties
- energy (eV per atom) = -1.82

The following is a PBE calculation of crystalline NaSr2H at its relaxed geometry, from the Alexandria database.

Geometry as CIF:
```
data_NaSr2H
_cell_length_a 7.793
_cell_length_b 7.793
_cell_length_c 9.590
_cell_angle_alpha 90.00
_cell_angle_beta 90.00
_cell_angle_gamma 90.00
_symmetry_space_group_name_H-M 'I -4 2 d'
_symmetry_Int_Tables_number 122
_symmetry_space_group_name_Hall 'I -4 2bw'
loop_
_atom_site_label
_atom_site_type_symbol
_atom_site_fract_x
_atom_site_fract_y
_atom_site_fract_z
Na1 Na 0.000 0.000 0.000
Sr1 Sr 0.121 0.250 0.625
H1 H 0.000 0.000 0.500
```

Properties
- excess energy over the best structure of this formula in the dataset (meV/atom) = 71

The following is a PBE calculation of crystalline NaSr2H at its relaxed geometry, from the Alexandria database.

Geometry as CIF:
```
data_NaSr2H
_cell_length_a 8.326
_cell_length_b 8.326
_cell_length_c 8.326
_cell_angle_alpha 90.00
_cell_angle_beta 90.00
_cell_angle_gamma 90.00
_symmetry_space_group_name_H-M 'F m -3 m'
_symmetry_Int_Tables_number 225
_symmetry_space_group_name_Hall '-F 4 2 3'
loop_
_atom_site_label
_atom_site_type_symbol
_atom_site_fract_x
_atom_site_fract_y
_atom_site_fract_z
Na1 Na 0.000 0.000 0.000
Sr1 Sr 0.250 0.250 0.250
H1 H 0.000 0.000 0.500
```

Properties
- excess energy over the best structure of this formula in the dataset (meV/atom) = 492

The following is a PBE calculation of crystalline NaSr2H at its relaxed geometry, from the Alexandria database.

Geometry as CIF:
```
data_NaSr2H
_cell_length_a 15.792
_cell_length_b 4.310
_cell_length_c 8.761
_cell_angle_alpha 90.00
_cell_angle_beta 105.81
_cell_angle_gamma 90.00
_symmetry_space_group_name_H-M 'C 1 2/m 1'
_symmetry_Int_Tables_number 12
loop_
_symmetry_equiv_pos_as_xyz
'x,y,z'
'-x,-y,-z'
'-x,y,-z'
'x,-y,z'
'x+1/2,y+1/2,z'
'-x+1/2,-y+1/2,-z'
'-x+1/2,y+1/2,-z'
'x+1/2,-y+1/2,z'
loop_
_atom_site_label
_atom_site_type_symbol
_atom_site_fract_x
_atom_site_fract_y
_atom_site_fract_z
Na1 Na 0.154 0.000 0.055
Sr1 Sr 0.020 0.500 0.286
Sr2 Sr 0.177 0.000 0.628
H1 H 0.097 0.500 0.574
```

Properties
- excess energy over the best structure of this formula in the dataset (meV/atom) = 0

The following is a PBE calculation of crystalline NaSr2TcH6 at its relaxed geometry, from the Alexandria database.

Geometry as CIF:
```
data_NaSr2TcH6
_cell_length_a 5.4163
_cell_length_b 5.4163
_cell_length_c 5.7499
_cell_angle_alpha 90.00
_cell_angle_beta 90.00
_cell_angle_gamma 120.00
_symmetry_space_group_name_H-M 'P -3 m 1'
_symmetry_Int_Tables_number 164
_symmetry_space_group_name_Hall '-P 3 2"'
loop_
_atom_site_label
_atom_site_type_symbol
_atom_site_fract_x
_atom_site_fract_y
_atom_site_fract_z
Na1 Na 0.0000 0.0000 0.0000
Sr1 Sr 0.3333 0.6667 0.6584
Tc1 Tc 0.0000 0.0000 0.5000
H1 H 0.1579 0.3157 0.3184
```

Properties
- energy (eV per atom) = -3.90

The following is a PBE calculation of crystalline NaSr2TeH at its relaxed geometry, from the Alexandria database.

Geometry as CIF:
```
data_NaSr2TeH
_cell_length_a 5.417
_cell_length_b 5.417
_cell_length_c 4.632
_cell_angle_alpha 90.00
_cell_angle_beta 90.00
_cell_angle_gamma 90.00
_symmetry_space_group_name_H-M 'P 4/m m m'
_symmetry_Int_Tables_number 123
_symmetry_space_group_name_Hall '-P 4 2'
loop_
_atom_site_label
_atom_site_type_symbol
_atom_site_fract_x
_atom_site_fract_y
_atom_site_fract_z
Na1 Na 0.000 0.000 0.000
Sr1 Sr 0.000 0.500 0.500
Te1 Te 0.500 0.500 0.000
H1 H 0.000 0.000 0.500
```

Properties
- energy (eV per atom) = -2.79

The following is a PBE calculation of crystalline NaSrTe2H at its relaxed geometry, from the Alexandria database.

Geometry as CIF:
```
data_NaSrTe2H
_cell_length_a 5.401
_cell_length_b 5.401
_cell_length_c 4.470
_cell_angle_alpha 90.00
_cell_angle_beta 90.00
_cell_angle_gamma 90.00
_symmetry_space_group_name_H-M 'P 4/m m m'
_symmetry_Int_Tables_number 123
_symmetry_space_group_name_Hall '-P 4 2'
loop_
_atom_site_label
_atom_site_type_symbol
_atom_site_fract_x
_atom_site_fract_y
_atom_site_fract_z
Na1 Na 0.000 0.000 0.000
Sr1 Sr 0.500 0.500 0.000
Te1 Te 0.000 0.500 0.500
H1 H 0.500 0.500 0.500
```

Properties
- energy (eV per atom) = -3.03

The following is a PBE calculation of crystalline NaSrTl2H at its relaxed geometry, from the Alexandria database.

Geometry as CIF:
```
data_NaSrTl2H
_cell_length_a 5.310
_cell_length_b 5.310
_cell_length_c 4.700
_cell_angle_alpha 90.00
_cell_angle_beta 90.00
_cell_angle_gamma 90.00
_symmetry_space_group_name_H-M 'P 4/m m m'
_symmetry_Int_Tables_number 123
_symmetry_space_group_name_Hall '-P 4 2'
loop_
_atom_site_label
_atom_site_type_symbol
_atom_site_fract_x
_atom_site_fract_y
_atom_site_fract_z
Na1 Na 0.000 0.000 0.000
Sr1 Sr 0.500 0.500 0.000
Tl1 Tl 0.000 0.500 0.500
H1 H 0.500 0.500 0.500
```

Properties
- energy (eV per atom) = -2.32

The following is a PBE calculation of crystalline Na2SrZnH at its relaxed geometry, from the Alexandria database.

Geometry as CIF:
```
data_Na2SrZnH
_cell_length_a 4.831
_cell_length_b 4.831
_cell_length_c 5.227
_cell_angle_alpha 90.00
_cell_angle_beta 90.00
_cell_angle_gamma 90.00
_symmetry_space_group_name_H-M 'P 4/m m m'
_symmetry_Int_Tables_number 123
_symmetry_space_group_name_Hall '-P 4 2'
loop_
_atom_site_label
_atom_site_type_symbol
_atom_site_fract_x
_atom_site_fract_y
_atom_site_fract_z
Na1 Na 0.000 0.500 0.000
Sr1 Sr 0.000 0.000 0.500
Zn1 Zn 0.500 0.500 0.500
H1 H 0.000 0.000 0.000
```

Properties
- energy (eV per atom) = -1.86

The following is a PBE calculation of crystalline NaSrZn2H6 at its relaxed geometry, from the Alexandria database.

Geometry as CIF:
```
data_NaSrZn2H6
_cell_length_a 5.1276
_cell_length_b 5.1276
_cell_length_c 18.6227
_cell_angle_alpha 90.00
_cell_angle_beta 90.00
_cell_angle_gamma 120.00
_symmetry_space_group_name_H-M 'R -3'
_symmetry_Int_Tables_number 148
_symmetry_space_group_name_Hall '-R 3'
loop_
_atom_site_label
_atom_site_type_symbol
_atom_site_fract_x
_atom_site_fract_y
_atom_site_fract_z
Na1 Na 0.0000 0.0000 0.0000
Sr1 Sr 0.0000 0.0000 0.5000
Zn1 Zn 0.0000 0.0000 0.2549
H1 H 0.0050 0.6029 0.5761
```

Properties
- energy (eV per atom) = -2.67

The following is a PBE calculation of crystalline NaSr2ZnH at its relaxed geometry, from the Alexandria database.

Geometry as CIF:
```
data_NaSr2ZnH
_cell_length_a 5.429
_cell_length_b 5.429
_cell_length_c 4.553
_cell_angle_alpha 90.00
_cell_angle_beta 90.00
_cell_angle_gamma 90.00
_symmetry_space_group_name_H-M 'P 4/m m m'
_symmetry_Int_Tables_number 123
_symmetry_space_group_name_Hall '-P 4 2'
loop_
_atom_site_label
_atom_site_type_symbol
_atom_site_fract_x
_atom_site_fract_y
_atom_site_fract_z
Na1 Na 0.000 0.000 0.000
Sr1 Sr 0.000 0.500 0.500
Zn1 Zn 0.500 0.500 0.000
H1 H 0.000 0.000 0.500
```

Properties
- energy (eV per atom) = -2.01

The following is a PBE calculation of crystalline NaTaH4 at its relaxed geometry, from the Alexandria database.

Geometry as CIF:
```
data_NaTaH4
_cell_length_a 6.024
_cell_length_b 9.599
_cell_length_c 5.192
_cell_angle_alpha 90.00
_cell_angle_beta 107.78
_cell_angle_gamma 90.00
_symmetry_space_group_name_H-M 'C 1 2/c 1'
_symmetry_Int_Tables_number 15
loop_
_symmetry_equiv_pos_as_xyz
'x,y,z'
'-x,-y,-z'
'-x,y,-z+1/2'
'x,-y,z+1/2'
'x+1/2,y+1/2,z'
'-x+1/2,-y+1/2,-z'
'-x+1/2,y+1/2,-z+1/2'
'x+1/2,-y+1/2,z+1/2'
loop_
_atom_site_label
_atom_site_type_symbol
_atom_site_fract_x
_atom_site_fract_y
_atom_site_fract_z
Na1 Na 0.000 0.150 0.250
Ta1 Ta 0.000 0.499 0.750
H1 H 0.093 0.355 0.527
H2 H 0.241 0.441 0.084
```

Properties
- energy (eV per atom) = -4.45

The following is a PBE calculation of crystalline NaTa2H8 at its relaxed geometry, from the Alexandria database.

Geometry as CIF:
```
data_NaTa2H8
_cell_length_a 4.745
_cell_length_b 8.559
_cell_length_c 5.079
_cell_angle_alpha 90.00
_cell_angle_beta 91.12
_cell_angle_gamma 90.00
_symmetry_space_group_name_H-M 'C 1 m 1'
_symmetry_Int_Tables_number 8
loop_
_symmetry_equiv_pos_as_xyz
'x,y,z'
'x,-y,z'
'x+1/2,y+1/2,z'
'x+1/2,-y+1/2,z'
loop_
_atom_site_label
_atom_site_type_symbol
_atom_site_fract_x
_atom_site_fract_y
_atom_site_fract_z
Na1 Na 0.000 0.000 0.000
Ta1 Ta 0.499 0.170 0.501
H1 H 0.004 0.500 0.254
H2 H 0.014 0.500 0.749
H3 H 0.228 0.232 0.235
H4 H 0.240 0.232 0.767
H5 H 0.411 0.384 0.501
```

Properties
- energy (eV per atom) = -4.84

The following is a PBE calculation of crystalline Na2TaH6 at its relaxed geometry, from the Alexandria database.

Geometry as CIF:
```
data_Na2TaH6
_cell_length_a 7.764
_cell_length_b 7.764
_cell_length_c 7.764
_cell_angle_alpha 90.00
_cell_angle_beta 90.00
_cell_angle_gamma 90.00
_symmetry_space_group_name_H-M 'F m -3 m'
_symmetry_Int_Tables_number 225
_symmetry_space_group_name_Hall '-F 4 2 3'
loop_
_atom_site_label
_atom_site_type_symbol
_atom_site_fract_x
_atom_site_fract_y
_atom_site_fract_z
Na1 Na 0.250 0.250 0.250
Ta1 Ta 0.000 0.000 0.000
H1 H 0.000 0.000 0.242
```

Properties
- energy (eV per atom) = -3.62